#i
# SbTe2MoAu PBE-GGA optimized geometry
data_SbTe2MoAu
_chemical_formula_sum 'Sb1 Te2 Mo1 Au1'
_cell_length_a 5.482
_cell_length_b 5.482
_cell_length_c 5.236
_cell_angle_alpha 90.00
_cell_angle_beta 90.00
_cell_angle_gamma 90.00
_symmetry_space_group_name_H-M 'P 4/m m m'
_symmetry_Int_Tables_number 123
_symmetry_space_group_name_Hall '-P 4 2'
loop_
_atom_site_label
_atom_site_type_symbol
_atom_site_fract_x
_atom_site_fract_y
_atom_site_fract_z
Sb1 Sb 0.000 0.000 0.000
Te1 Te 0.000 0.500 0.500
Mo1 Mo 0.500 0.500 0.000
Au1 Au 0.000 0.000 0.500
# DOS at the Fermi energy, states/eV/cell: 4.38


#ii
# SbTe2MoAu PBE-GGA optimized geometry
data_SbTe2MoAu
_chemical_formula_sum 'Sb1 Te2 Mo1 Au1'
_cell_length_a 5.217
_cell_length_b 5.217
_cell_length_c 5.316
_cell_angle_alpha 90.00
_cell_angle_beta 90.00
_cell_angle_gamma 90.00
_symmetry_space_group_name_H-M 'P 4/m m m'
_symmetry_Int_Tables_number 123
_symmetry_space_group_name_Hall '-P 4 2'
loop_
_atom_site_label
_atom_site_type_symbol
_atom_site_fract_x
_atom_site_fract_y
_atom_site_fract_z
Sb1 Sb 0.000 0.000 0.000
Te1 Te 0.000 0.500 0.500
Mo1 Mo 0.000 0.000 0.500
Au1 Au 0.500 0.500 0.000
# DOS at the Fermi energy, states/eV/cell: 2.85


Which of them is most stable, and which least? Most stable: #ii; least stable: #i.


#i
# ScMo2Au PBE-GGA optimized geometry
data_ScMo2Au
_chemical_formula_sum 'Sc2 Mo4 Au2'
_cell_length_a 3.894
_cell_length_b 3.919
_cell_length_c 9.113
_cell_angle_alpha 90.00
_cell_angle_beta 90.00
_cell_angle_gamma 90.00
_symmetry_space_group_name_H-M 'C m m m'
_symmetry_Int_Tables_number 65
_symmetry_space_group_name_Hall '-C 2 2'
loop_
_atom_site_label
_atom_site_type_symbol
_atom_site_fract_x
_atom_site_fract_y
_atom_site_fract_z
Sc1 Sc 0.000 0.000 0.000
Mo1 Mo 0.000 0.500 0.258
Au1 Au 0.000 0.000 0.500
# DOS at the Fermi energy, states/eV/cell: 6.27


#ii
# ScMo2Au PBE-GGA optimized geometry
data_ScMo2Au
_chemical_formula_sum 'Sc1 Mo2 Au1'
_cell_length_a 3.491
_cell_length_b 3.491
_cell_length_c 5.747
_cell_angle_alpha 90.00
_cell_angle_beta 90.00
_cell_angle_gamma 90.00
_symmetry_space_group_name_H-M 'P 4/m m m'
_symmetry_Int_Tables_number 123
_symmetry_space_group_name_Hall '-P 4 2'
loop_
_atom_site_label
_atom_site_type_symbol
_atom_site_fract_x
_atom_site_fract_y
_atom_site_fract_z
Sc1 Sc 0.000 0.000 0.000
Mo1 Mo 0.500 0.500 0.262
Au1 Au 0.000 0.000 0.500
# DOS at the Fermi energy, states/eV/cell: 4.67


#iii
# ScMo2Au PBE-GGA optimized geometry
data_ScMo2Au
_chemical_formula_sum 'Sc2 Mo4 Au2'
_cell_length_a 4.604
_cell_length_b 4.604
_cell_length_c 6.504
_cell_angle_alpha 90.00
_cell_angle_beta 90.00
_cell_angle_gamma 90.00
_symmetry_space_group_name_H-M 'I -4 m 2'
_symmetry_Int_Tables_number 119
_symmetry_space_group_name_Hall 'I -4 -2'
loop_
_atom_site_label
_atom_site_type_symbol
_atom_site_fract_x
_atom_site_fract_y
_atom_site_fract_z
Sc1 Sc 0.000 0.000 0.000
Mo1 Mo 0.000 0.000 0.500
Mo2 Mo 0.000 0.500 0.250
Au1 Au 0.000 0.500 0.750
# DOS at the Fermi energy, states/eV/cell: 8.85


#iv
# ScMo2Au PBE-GGA optimized geometry
data_ScMo2Au
_chemical_formula_sum 'Sc2 Mo4 Au2'
_cell_length_a 5.474
_cell_length_b 9.612
_cell_length_c 2.783
_cell_angle_alpha 90.00
_cell_angle_beta 109.17
_cell_angle_gamma 90.00
_symmetry_space_group_name_H-M 'C 1 2/m 1'
_symmetry_Int_Tables_number 12
_symmetry_space_group_name_Hall '-C 2y'
loop_
_atom_site_label
_atom_site_type_symbol
_atom_site_fract_x
_atom_site_fract_y
_atom_site_fract_z
Sc1 Sc 0.000 0.000 0.000
Mo1 Mo 0.250 0.250 0.500
Au1 Au 0.000 0.500 0.000
# DOS at the Fermi energy, states/eV/cell: 10.94


Which of them is most stable, and which least? Most stable: #iii; least stable: #ii.


#i
# ScMo2Au PBE-GGA optimized geometry
data_ScMo2Au
_chemical_formula_sum 'Sc3 Mo6 Au3'
_cell_length_a 3.1062
_cell_length_b 3.1062
_cell_length_c 26.1376
_cell_angle_alpha 90.00
_cell_angle_beta 90.00
_cell_angle_gamma 120.00
_symmetry_space_group_name_H-M 'R 3 m'
_symmetry_Int_Tables_number 160
_symmetry_space_group_name_Hall 'R 3 -2"'
loop_
_atom_site_label
_atom_site_type_symbol
_atom_site_fract_x
_atom_site_fract_y
_atom_site_fract_z
Sc1 Sc 0.0000 0.0000 0.0000
Mo1 Mo 0.0000 0.0000 0.2464
Mo2 Mo 0.0000 0.0000 0.5099
Au1 Au 0.0000 0.0000 0.7540
# DOS at the Fermi energy, states/eV/cell: 10.85


#ii
# ScMo2Au PBE-GGA optimized geometry
data_ScMo2Au
_chemical_formula_sum 'Sc1 Mo2 Au1'
_cell_length_a 2.833
_cell_length_b 4.927
_cell_length_c 5.100
_cell_angle_alpha 90.00
_cell_angle_beta 97.82
_cell_angle_gamma 90.00
_symmetry_space_group_name_H-M 'P 1 2/m 1'
_symmetry_Int_Tables_number 10
_symmetry_space_group_name_Hall '-P 2y'
loop_
_atom_site_label
_atom_site_type_symbol
_atom_site_fract_x
_atom_site_fract_y
_atom_site_fract_z
Sc1 Sc 0.000 0.000 0.000
Mo1 Mo 0.318 0.500 0.766
Au1 Au 0.500 0.000 0.500
# DOS at the Fermi energy, states/eV/cell: 3.13


Which of them is most stable, and which least? Most stable: #ii; least stable: #i.


#i
# ScMo2Au PBE-GGA optimized geometry
data_ScMo2Au
_chemical_formula_sum 'Sc2 Mo4 Au2'
_cell_length_a 9.449
_cell_length_b 2.817
_cell_length_c 5.274
_cell_angle_alpha 90.00
_cell_angle_beta 95.29
_cell_angle_gamma 90.00
_symmetry_space_group_name_H-M 'C 1 m 1'
_symmetry_Int_Tables_number 8
_symmetry_space_group_name_Hall 'C -2y'
loop_
_atom_site_label
_atom_site_type_symbol
_atom_site_fract_x
_atom_site_fract_y
_atom_site_fract_z
Sc1 Sc 0.000 0.000 0.000
Mo1 Mo 0.023 0.500 0.487
Mo2 Mo 0.264 0.500 0.290
Au1 Au 0.256 0.000 0.781
# DOS at the Fermi energy, states/eV/cell: 7.58


#ii
# ScMo2Au PBE-GGA optimized geometry
data_ScMo2Au
_chemical_formula_sum 'Sc1 Mo2 Au1'
_cell_length_a 2.765
_cell_length_b 2.765
_cell_length_c 9.045
_cell_angle_alpha 90.00
_cell_angle_beta 90.00
_cell_angle_gamma 90.00
_symmetry_space_group_name_H-M 'P 4 m m'
_symmetry_Int_Tables_number 99
_symmetry_space_group_name_Hall 'P 4 -2'
loop_
_atom_site_label
_atom_site_type_symbol
_atom_site_fract_x
_atom_site_fract_y
_atom_site_fract_z
Sc1 Sc 0.000 0.000 0.000
Mo1 Mo 0.000 0.000 0.498
Mo2 Mo 0.500 0.500 0.747
Au1 Au 0.500 0.500 0.255
# DOS at the Fermi energy, states/eV/cell: 2.21


Which of them is most stable, and which least? Most stable: #ii; least stable: #i.


#i
# ScMo2Au PBE-GGA optimized geometry
data_ScMo2Au
_chemical_formula_sum 'Sc2 Mo4 Au2'
_cell_length_a 3.329
_cell_length_b 4.664
_cell_length_c 9.014
_cell_angle_alpha 90.00
_cell_angle_beta 90.00
_cell_angle_gamma 90.00
_symmetry_space_group_name_H-M 'C m m 2'
_symmetry_Int_Tables_number 35
_symmetry_space_group_name_Hall 'C 2 -2'
loop_
_atom_site_label
_atom_site_type_symbol
_atom_site_fract_x
_atom_site_fract_y
_atom_site_fract_z
Sc1 Sc 0.000 0.000 0.000
Mo1 Mo 0.000 0.000 0.518
Mo2 Mo 0.000 0.500 0.743
Au1 Au 0.000 0.500 0.258
# DOS at the Fermi energy, states/eV/cell: 6.83


#ii
# ScMo2Au PBE-GGA optimized geometry
data_ScMo2Au
_chemical_formula_sum 'Sc4 Mo8 Au4'
_cell_length_a 6.513
_cell_length_b 6.513
_cell_length_c 6.513
_cell_angle_alpha 90.00
_cell_angle_beta 90.00
_cell_angle_gamma 90.00
_symmetry_space_group_name_H-M 'F m -3 m'
_symmetry_Int_Tables_number 225
_symmetry_space_group_name_Hall '-F 4 2 3'
loop_
_atom_site_label
_atom_site_type_symbol
_atom_site_fract_x
_atom_site_fract_y
_atom_site_fract_z
Sc1 Sc 0.000 0.000 0.000
Mo1 Mo 0.250 0.250 0.250
Au1 Au 0.000 0.000 0.500
# DOS at the Fermi energy, states/eV/cell: 28.59


Which of them is most stable, and which least? Most stable: #i; least stable: #ii.


#i
# ScMo2Au PBE-GGA optimized geometry
data_ScMo2Au
_chemical_formula_sum 'Sc2 Mo4 Au2'
_cell_length_a 3.475
_cell_length_b 4.670
_cell_length_c 8.669
_cell_angle_alpha 90.00
_cell_angle_beta 90.00
_cell_angle_gamma 90.00
_symmetry_space_group_name_H-M 'I m m 2'
_symmetry_Int_Tables_number 44
_symmetry_space_group_name_Hall 'I 2 -2'
loop_
_atom_site_label
_atom_site_type_symbol
_atom_site_fract_x
_atom_site_fract_y
_atom_site_fract_z
Sc1 Sc 0.000 0.000 0.000
Mo1 Mo 0.000 0.000 0.536
Mo2 Mo 0.000 0.500 0.244
Au1 Au 0.000 0.500 0.766
# DOS at the Fermi energy, states/eV/cell: 7.51


#ii
# ScMo2Au PBE-GGA optimized geometry
data_ScMo2Au
_chemical_formula_sum 'Sc1 Mo2 Au1'
_cell_length_a 2.772
_cell_length_b 4.669
_cell_length_c 5.474
_cell_angle_alpha 90.00
_cell_angle_beta 90.00
_cell_angle_gamma 90.00
_symmetry_space_group_name_H-M 'P m m m'
_symmetry_Int_Tables_number 47
_symmetry_space_group_name_Hall '-P 2 2'
loop_
_atom_site_label
_atom_site_type_symbol
_atom_site_fract_x
_atom_site_fract_y
_atom_site_fract_z
Sc1 Sc 0.000 0.000 0.000
Mo1 Mo 0.500 0.500 0.232
Au1 Au 0.000 0.000 0.500
# DOS at the Fermi energy, states/eV/cell: 2.89


#iii
# ScMo2Au PBE-GGA optimized geometry
data_ScMo2Au
_chemical_formula_sum 'Sc1 Mo2 Au1'
_cell_length_a 3.857
_cell_length_b 3.857
_cell_length_c 4.643
_cell_angle_alpha 90.00
_cell_angle_beta 90.00
_cell_angle_gamma 90.00
_symmetry_space_group_name_H-M 'P 4/m m m'
_symmetry_Int_Tables_number 123
_symmetry_space_group_name_Hall '-P 4 2'
loop_
_atom_site_label
_atom_site_type_symbol
_atom_site_fract_x
_atom_site_fract_y
_atom_site_fract_z
Sc1 Sc 0.000 0.000 0.000
Mo1 Mo 0.000 0.500 0.500
Au1 Au 0.500 0.500 0.000
# DOS at the Fermi energy, states/eV/cell: 2.26


Which of them is most stable, and which least? Most stable: #iii; least stable: #ii.